Cd2SnAs after structural relaxation. Source: Alexandria via LeMat-Bulk, functional GGA-PBE.

Calculated values
* ΔE_f: 0.20 eV per atom
* magnetization: 0.00 μB/f.u.
* Fermi-level density of states: 2.2 states/eV/f.u.
* energy above the most stable polymorph in this dataset: 123 meV/atom

Cell: 5.118 5.118 5.118 Å, 60.00 60.00 60.00°
Atoms (fractional coordinates):
As 0.000 0.000 0.000
Sn 0.500 0.500 0.500
Cd 0.250 0.250 0.250
Cd 0.750 0.750 0.750

Sr2CdSn2As4 after structural relaxation. Source: Alexandria via LeMat-Bulk, functional GGA-PBE.

Calculated values
* ΔE_f: -0.44 eV per atom
* magnetization: 0.00 μB/f.u.
* Fermi-level density of states: 2.4 states/eV/f.u.

Cell: 4.979 8.284 6.518 Å, 105.27 90.00 107.49°
Atoms (fractional coordinates):
Sr 0.867 0.734 0.408
Sr 0.133 0.266 0.592
Cd 0.000 0.000 0.000
Sn 0.345 0.691 0.962
Sn 0.655 0.309 0.038
As 0.782 0.565 0.792
As 0.218 0.435 0.208
As 0.504 0.007 0.305
As 0.496 0.993 0.695

TlCdSnAs2 after structural relaxation. Source: Alexandria via LeMat-Bulk, functional GGA-PBE.

Calculated values
* ΔE_f: -0.02 eV per atom
* magnetization: 0.00 μB/f.u.
* Fermi-level density of states: 1.2 states/eV/f.u.

Cell: 4.425 8.565 8.188 Å, 86.94 74.33 75.03°
Atoms (fractional coordinates):
Tl 0.866 0.702 0.566
Tl 0.134 0.298 0.434
Cd 0.087 0.013 0.812
Cd 0.913 0.987 0.188
Sn 0.377 0.342 0.904
Sn 0.623 0.658 0.096
As 0.387 0.877 0.350
As 0.613 0.123 0.650
As 0.784 0.318 0.113
As 0.216 0.682 0.887

Sr2CdAs after structural relaxation. Source: Alexandria via LeMat-Bulk, functional GGA-PBE.

Calculated values
* ΔE_f: -0.49 eV per atom
* magnetization: 0.00 μB/f.u.
* Fermi-level density of states: 3.6 states/eV/f.u.
* energy above the most stable polymorph in this dataset: 238 meV/atom

Cell: 4.666 4.666 6.464 Å, 90.00 90.00 90.00°
Atoms (fractional coordinates):
Sr 0.000 0.000 0.876
Sr 0.500 0.500 0.374
As 0.000 0.000 0.376
Cd 0.500 0.500 0.874

SrCdAs2 after structural relaxation. Source: Alexandria via LeMat-Bulk, functional GGA-PBE.

Calculated values
* ΔE_f: -0.32 eV per atom
* magnetization: 0.00 μB/f.u.
* Fermi-level density of states: 2.8 states/eV/f.u.

Cell: 3.938 3.938 6.443 Å, 90.00 90.00 90.00°
Atoms (fractional coordinates):
Sr 0.500 0.500 0.750
As 0.000 0.000 0.048
As 0.000 0.000 0.452
Cd 0.500 0.500 0.250

SrCdAs2 after structural relaxation. Source: Alexandria via LeMat-Bulk, functional GGA-PBE.

Calculated values
* ΔE_f: -0.24 eV per atom
* magnetization: 0.00 μB/f.u.
* Fermi-level density of states: 3.4 states/eV/f.u.

Cell: 3.430 5.013 6.126 Å, 90.00 90.00 90.00°
Atoms (fractional coordinates):
Sr 0.500 0.500 0.836
As 0.000 0.000 0.907
As 0.500 0.500 0.340
Cd 0.000 0.000 0.417

Sr3CdAs3 after structural relaxation. Source: Alexandria via LeMat-Bulk, functional GGA-PBE.

Calculated values
* ΔE_f: -0.88 eV per atom
* magnetization: 0.00 μB/f.u.
* Fermi-level density of states: 5.6 states/eV/f.u.

Cell: 6.756 10.364 13.013 Å, 90.00 90.00 109.02°
Atoms (fractional coordinates):
Sr 0.688 0.000 0.854
Sr 0.812 0.000 0.354
Sr 0.188 0.000 0.646
Sr 0.312 0.000 0.146
Sr 0.022 0.649 0.369
Sr 0.478 0.351 0.869
Sr 0.873 0.351 0.131
Sr 0.627 0.649 0.631
Sr 0.978 0.351 0.631
Sr 0.522 0.649 0.131
Sr 0.127 0.649 0.869
Sr 0.373 0.351 0.369
Cd 0.414 0.828 0.500
Cd 0.086 0.172 0.000
Cd 0.586 0.172 0.500
Cd 0.914 0.828 0.000
As 0.231 0.000 0.887
As 0.269 0.000 0.387
As 0.731 0.000 0.613
As 0.769 0.000 0.113
As 0.563 0.674 0.376
As 0.937 0.326 0.876
As 0.389 0.326 0.124
As 0.111 0.674 0.624
As 0.437 0.326 0.624
As 0.063 0.674 0.124
As 0.611 0.674 0.876
As 0.889 0.326 0.376

SrCdAs2 after structural relaxation. Source: Alexandria via LeMat-Bulk, functional GGA-PBE.

Calculated values
* ΔE_f: -0.40 eV per atom
* magnetization: 0.00 μB/f.u.
* Fermi-level density of states: 1.8 states/eV/f.u.

Cell: 7.925 4.770 4.225 Å, 89.93 57.89 126.53°
Atoms (fractional coordinates):
Sr 0.500 0.500 0.000
As 0.000 0.000 0.000
As 0.500 0.000 0.500
Cd 0.000 0.500 0.500

Sr2CdAs after structural relaxation. Source: Alexandria via LeMat-Bulk, functional GGA-PBE.

Calculated values
* ΔE_f: -0.18 eV per atom
* magnetization: 0.00 μB/f.u.
* Fermi-level density of states: 1.5 states/eV/f.u.
* energy above the most stable polymorph in this dataset: 548 meV/atom

Cell: 5.602 5.602 5.602 Å, 60.00 60.00 60.00°
Atoms (fractional coordinates):
Sr 0.000 0.000 0.000
Sr 0.250 0.250 0.250
As 0.500 0.500 0.500
Cd 0.750 0.750 0.750

Sr2CdAs after structural relaxation. Source: Alexandria via LeMat-Bulk, functional GGA-PBE.

Calculated values
* ΔE_f: -0.67 eV per atom
* magnetization: 0.00 μB/f.u.
* Fermi-level density of states: 1.2 states/eV/f.u.
* energy above the most stable polymorph in this dataset: 60 meV/atom

Cell: 5.309 4.272 5.309 Å, 90.00 90.00 90.00°
Atoms (fractional coordinates):
Sr 0.000 0.125 0.875
Sr 0.500 0.125 0.375
As 0.000 0.625 0.374
Cd 0.500 0.625 0.876